Entry 1:
# La2CeNdBi4

A relaxed structure of La2CeNdBi4 (GGA-PBE, Alexandria).

```
data_La2CeNdBi4
_cell_length_a 4.658
_cell_length_b 8.063
_cell_length_c 8.069
_cell_angle_alpha 109.45
_cell_angle_beta 90.00
_cell_angle_gamma 90.00
_space_group_name_H-M_alt 'P 1'
_space_group_IT_number 1
_space_group_name_Hall 'P 1'
loop_
_atom_site_label
_atom_site_type_symbol
_atom_site_fract_x
_atom_site_fract_y
_atom_site_fract_z
La1 La 0.500 0.000 0.500
Bi1 Bi 0.500 0.250 0.245
Nd1 Nd 0.000 0.000 0.000
La2 La 0.000 0.500 0.500
Bi2 Bi 0.000 0.747 0.244
Bi3 Bi 0.500 0.750 0.755
Bi4 Bi 0.000 0.253 0.756
Ce1 Ce 0.500 0.500 0.000
```

Calculated values
space-group type = P2/m
crystal system = monoclinic
VASP energy = -5.48 eV per atom
E_form = -0.97 eV/atom

=====

Entry 2:
# InHg2Sb

A relaxed structure of InHg2Sb (GGA-PBE, Alexandria).

```
data_InHg2Sb
_cell_length_a 3.448
_cell_length_b 5.475
_cell_length_c 5.964
_cell_angle_alpha 90.00
_cell_angle_beta 90.00
_cell_angle_gamma 90.00
_space_group_name_H-M_alt 'P 1'
_space_group_IT_number 1
_space_group_name_Hall 'P 1'
loop_
_atom_site_label
_atom_site_type_symbol
_atom_site_fract_x
_atom_site_fract_y
_atom_site_fract_z
Hg1 Hg 0.000 0.000 0.126
Sb1 Sb 0.500 0.500 0.624
In1 In 0.000 0.000 0.626
Hg2 Hg 0.500 0.500 0.124
```

Calculated values
energy relative to the elements, uncorrected = 0.041 eV/atom
space-group type = Pmm2
crystal system = orthorhombic
VASP energy = -1.83 eV per atom

=====

Entry 3:
# CeEuErTl

A relaxed structure of CeEuErTl (GGA-PBE, Alexandria).

```
data_CeEuErTl
_cell_length_a 5.521
_cell_length_b 5.521
_cell_length_c 5.521
_cell_angle_alpha 60.00
_cell_angle_beta 60.00
_cell_angle_gamma 60.00
_space_group_name_H-M_alt 'P 1'
_space_group_IT_number 1
_space_group_name_Hall 'P 1'
loop_
_atom_site_label
_atom_site_type_symbol
_atom_site_fract_x
_atom_site_fract_y
_atom_site_fract_z
Tl1 Tl 0.000 0.000 0.000
Ce1 Ce 0.500 0.500 0.500
Eu1 Eu 0.750 0.750 0.750
Er1 Er 0.250 0.250 0.250
```

Calculated values
space-group type = F-43m
crystal system = cubic
VASP energy = -5.75 eV per atom
E_form = 0.03 eV/atom

=====

Entry 4:
# Ta2NbMo6

A relaxed structure of Ta2NbMo6 (GGA-PBE, Alexandria).

```
data_Ta2NbMo6
_cell_length_a 4.744
_cell_length_b 8.499
_cell_length_c 6.802
_cell_angle_alpha 128.66
_cell_angle_beta 123.16
_cell_angle_gamma 90.00
_space_group_name_H-M_alt 'P 1'
_space_group_IT_number 1
_space_group_name_Hall 'P 1'
loop_
_atom_site_label
_atom_site_type_symbol
_atom_site_fract_x
_atom_site_fract_y
_atom_site_fract_z
Mo1 Mo 0.500 0.829 0.000
Ta1 Ta 0.333 0.332 0.665
Nb1 Nb 0.000 0.000 0.000
Ta2 Ta 0.667 0.668 0.335
Mo2 Mo 0.835 0.504 0.666
Mo3 Mo 0.165 0.496 0.334
Mo4 Mo 0.500 0.171 0.000
Mo5 Mo 0.835 0.162 0.666
Mo6 Mo 0.165 0.838 0.334
```

Calculated values
space-group type = C2/m
crystal system = monoclinic
energy above the lowest structure with this stoichiometry = 1.636 eV per formula unit
VASP energy = -10.74 eV per atom
E_form = 0.24 eV/atom

=====

Entry 5:
# Sc3Pd2Pt2

A relaxed structure of Sc3Pd2Pt2 (GGA-PBE, Alexandria).

```
data_Sc3Pd2Pt2
_cell_length_a 4.960
_cell_length_b 4.086
_cell_length_c 7.546
_cell_angle_alpha 105.73
_cell_angle_beta 103.66
_cell_angle_gamma 114.27
_space_group_name_H-M_alt 'P 1'
_space_group_IT_number 1
_space_group_name_Hall 'P 1'
loop_
_atom_site_label
_atom_site_type_symbol
_atom_site_fract_x
_atom_site_fract_y
_atom_site_fract_z
Pt1 Pt 0.160 0.285 0.409
Pd1 Pd 0.269 0.569 0.870
Sc1 Sc 0.490 0.094 0.699
Sc2 Sc 0.000 0.000 0.000
Pd2 Pd 0.731 0.431 0.130
Pt2 Pt 0.840 0.715 0.591
Sc3 Sc 0.510 0.906 0.301
```

Calculated values
space-group type = C2/m
crystal system = monoclinic
VASP energy = -6.92 eV per atom
E_form = -0.99 eV/atom

=====

Entry 6:
# NdSm4Hg

A relaxed structure of NdSm4Hg (GGA-PBE, Alexandria).

```
data_NdSm4Hg
_cell_length_a 3.668
_cell_length_b 3.668
_cell_length_c 14.234
_cell_angle_alpha 90.00
_cell_angle_beta 90.00
_cell_angle_gamma 90.00
_space_group_name_H-M_alt 'P 1'
_space_group_IT_number 1
_space_group_name_Hall 'P 1'
loop_
_atom_site_label
_atom_site_type_symbol
_atom_site_fract_x
_atom_site_fract_y
_atom_site_fract_z
Hg1 Hg 0.500 0.500 0.500
Sm1 Sm 0.500 0.500 0.180
Sm2 Sm 0.500 0.500 0.820
Nd1 Nd 0.000 0.000 0.000
Sm3 Sm 0.000 0.000 0.358
Sm4 Sm 0.000 0.000 0.642
```

Calculated values
space-group type = P4/mmm
crystal system = tetragonal
energy above the lowest structure with this stoichiometry = 0.000 eV per formula unit
VASP energy = -4.14 eV per atom
E_form = -0.15 eV/atom

=====

Entry 7:
# K2YTcO6

A relaxed structure of K2YTcO6 (GGA-PBE, Alexandria).

```
data_K2YTcO6
_cell_length_a 5.778
_cell_length_b 6.260
_cell_length_c 6.260
_cell_angle_alpha 120.00
_cell_angle_beta 90.00
_cell_angle_gamma 90.00
_space_group_name_H-M_alt 'P 1'
_space_group_IT_number 1
_space_group_name_Hall 'P 1'
loop_
_atom_site_label
_atom_site_type_symbol
_atom_site_fract_x
_atom_site_fract_y
_atom_site_fract_z
O1 O 0.797 0.140 0.279
K1 K 0.903 0.667 0.333
O2 O 0.203 0.279 0.140
O3 O 0.203 0.860 0.140
O4 O 0.203 0.860 0.721
K2 K 0.097 0.333 0.667
Tc1 Tc 0.000 0.000 0.000
Y1 Y 0.500 0.000 0.000
O5 O 0.797 0.140 0.860
O6 O 0.797 0.721 0.860
```

Calculated values
energy relative to the elements, uncorrected = -1.859 eV/atom
space-group type = P-3m1
crystal system = trigonal
VASP energy = -6.74 eV per atom

=====

Entry 8:
# Dy3SnSb

A relaxed structure of Dy3SnSb (GGA-PBE, Alexandria).

```
data_Dy3SnSb
_cell_length_a 4.655
_cell_length_b 8.788
_cell_length_c 8.517
_cell_angle_alpha 86.05
_cell_angle_beta 90.00
_cell_angle_gamma 105.36
_space_group_name_H-M_alt 'P 1'
_space_group_IT_number 1
_space_group_name_Hall 'P 1'
loop_
_atom_site_label
_atom_site_type_symbol
_atom_site_fract_x
_atom_site_fract_y
_atom_site_fract_z
Sn1 Sn 0.652 0.304 0.317
Dy1 Dy 0.173 0.346 0.552
Dy2 Dy 0.739 0.478 0.849
Dy3 Dy 0.827 0.654 0.448
Sn2 Sn 0.348 0.696 0.683
Sb1 Sb 0.120 0.239 0.908
Dy4 Dy 0.038 0.076 0.236
Dy5 Dy 0.261 0.522 0.151
Dy6 Dy 0.962 0.924 0.764
Sb2 Sb 0.880 0.761 0.092
```

Calculated values
energy relative to the elements, uncorrected = -0.499 eV/atom
space-group type = C2/m
crystal system = monoclinic
VASP energy = -4.89 eV per atom